(1)
An optimized crystal structure of Y7TmSc4, computed with PBE.

```
Y7TmSc4
1.0
2.881 7.766 -0.061
-2.881 7.766 -0.061
0.000 5.092 8.038
Y Sc Tm
7 4 1
Direct
0.915 0.915 0.437
0.249 0.249 0.715
0.085 0.085 0.563
0.795 0.795 0.881
0.500 0.500 0.000
0.751 0.751 0.285
0.205 0.205 0.119
0.670 0.670 0.657
0.450 0.450 0.702
0.550 0.550 0.298
0.330 0.330 0.343
0.000 0.000 0.000
```

Properties
Its symmetry is No. 12. The calculation puts the formation energy at 0.25 eV per atom. For the density of states at the Fermi level, the calculation gives 20.462 states/eV/cell. The calculation puts the volume at 361.5 Å³/f.u.

(2)
An optimized crystal structure of Cu3Pd6Rh, computed with PBE.

```
Cu3Pd6Rh
1.0
4.472 0.000 0.000
0.000 6.694 -2.772
0.000 -0.361 9.791
Cu Rh Pd
6 2 12
Direct
0.750 0.435 0.634
0.750 0.630 0.231
0.250 0.565 0.366
0.250 0.370 0.769
0.250 0.761 0.966
0.750 0.239 0.034
0.750 0.034 0.432
0.250 0.966 0.568
0.750 0.835 0.835
0.250 0.860 0.269
0.750 0.339 0.332
0.250 0.661 0.668
0.250 0.267 0.472
0.750 0.140 0.731
0.750 0.930 0.132
0.750 0.733 0.528
0.250 0.468 0.069
0.750 0.532 0.931
0.250 0.070 0.868
0.250 0.165 0.165
```

Properties
Its symmetry is No. 11. The calculation puts the formation energy at -0.02 eV per atom. For the density of states at the Fermi level, the calculation gives 26.038 states/eV/cell. The calculation puts the volume at 144.3 Å³/f.u.

(3)
An optimized crystal structure of ZrTi2RhN, computed with PBE.

```
ZrTi2RhN
1.0
4.090 0.000 0.000
0.000 4.090 0.000
0.000 0.000 4.474
N Ti Rh Zr
1 2 1 1
Direct
0.000 0.000 0.000
0.000 0.500 0.000
0.500 0.000 0.000
0.500 0.500 0.500
0.000 0.000 0.500
```

Properties
Its symmetry is No. 123. For the density of states at the Fermi level, the calculation gives 6.661 states/eV/cell. Its relative energy among the computed polymorphs is 0.000 eV/atom. The calculation puts the volume at 74.8 Å³/f.u. For the raw formation energy, the calculation gives -4.9 eV/f.u.

(4)
An optimized crystal structure of ZrMnPt2, computed with PBE.

```
ZrMnPt2
1.0
5.060 -0.002 -0.009
3.517 3.638 -0.009
1.553 0.658 3.579
Pt Mn Zr
2 1 1
Direct
0.000 0.000 0.000
0.750 0.750 0.750
0.250 0.250 0.250
0.500 0.500 0.500
```

Properties
Its symmetry is No. 119. The calculation puts the formation energy at -0.76 eV per atom. For the density of states at the Fermi level, the calculation gives 1.371 states/eV/cell. The calculation puts the volume at 66.0 Å³/f.u.

(5)
An optimized crystal structure of LiMnRhPb, computed with PBE.

```
LiMnRhPb
1.0
4.524 0.000 0.000
2.262 3.918 0.000
2.262 1.306 3.694
Rh Li Pb Mn
1 1 1 1
Direct
0.500 0.500 0.500
0.000 0.000 0.000
0.750 0.750 0.750
0.250 0.250 0.250
```

Properties
Its symmetry is No. 216. The calculation puts the formation energy at -0.12 eV per atom. For the density of states at the Fermi level, the calculation gives 2.068 states/eV/cell. The calculation puts the volume at 65.5 Å³/f.u.

(6)
An optimized crystal structure of TaNbPd3, computed with PBE.

```
TaNbPd3
1.0
5.057 0.000 1.629
2.266 4.521 1.629
0.364 0.225 7.536
Pd Nb Ta
6 2 2
Direct
0.387 0.891 0.335
0.891 0.387 0.335
0.613 0.109 0.665
0.109 0.613 0.665
0.387 0.387 0.335
0.613 0.613 0.665
0.334 0.334 0.998
0.666 0.666 0.002
0.935 0.935 0.196
0.065 0.065 0.804
```

Properties
Its symmetry is No. 166. The calculation puts the formation energy at -0.20 eV per atom. For the density of states at the Fermi level, the calculation gives 10.086 states/eV/cell. Its relative energy among the computed polymorphs is 0.000 eV/atom. The calculation puts the volume at 84.3 Å³/f.u.

(7)
An optimized crystal structure of LaPm4Nd2Sm2, computed with PBE.

```
LaPm4Nd2Sm2
1.0
-3.093 -1.598 3.852
7.698 0.291 2.802
-3.135 7.538 0.611
Pm Sm Nd La
4 2 2 1
Direct
0.777 0.555 0.666
0.444 0.888 0.665
0.223 0.445 0.334
0.556 0.112 0.335
0.111 0.222 0.664
0.889 0.778 0.336
0.332 0.665 0.001
0.668 0.335 0.999
0.000 0.000 0.000
```

Properties
Its symmetry is No. 12. The calculation puts the formation energy at 0.01 eV per atom. For the density of states at the Fermi level, the calculation gives 14.789 states/eV/cell. The calculation puts the volume at 313.4 Å³/f.u.

(8)
An optimized crystal structure of LiNiPb, computed with PBE.

```
LiNiPb
1.0
3.423 0.000 0.000
0.000 3.423 0.000
-1.711 -1.711 4.234
Li Pb Ni
1 1 1
Direct
0.607 0.607 0.214
0.288 0.288 0.577
0.955 0.955 0.910
```

Properties
Its symmetry is No. 107. The calculation puts the formation energy at -0.04 eV per atom. For the density of states at the Fermi level, the calculation gives 1.459 states/eV/cell. The calculation puts the volume at 49.6 Å³/f.u.

(9)
An optimized crystal structure of TbPr2Dy2Ho, computed with PBE.

```
TbPr2Dy2Ho
1.0
-4.869 2.808 0.837
-3.089 -3.861 -5.018
-2.674 -6.655 6.765
Dy Ho Pr Tb
4 2 4 2
Direct
0.500 0.258 0.334
0.500 0.758 0.666
0.000 0.758 0.164
0.000 0.258 0.836
0.500 0.757 0.339
0.500 0.257 0.661
0.500 0.508 0.000
0.000 0.258 0.175
0.500 0.008 0.000
0.000 0.758 0.825
0.000 0.507 0.500
0.000 0.007 0.500
```

Properties
Its symmetry is No. 51. The calculation puts the formation energy at 0.07 eV per atom. For the density of states at the Fermi level, the calculation gives 18.194 states/eV/cell. The calculation puts the volume at 197.3 Å³/f.u.

(10)
An optimized crystal structure of EuTmTl, computed with PBE.

```
EuTmTl
1.0
-0.679 0.667 -5.223
-4.533 -1.525 -2.303
-3.424 3.641 -1.788
Tm Tl Eu
1 1 1
Direct
0.500 0.500 0.500
0.250 0.250 0.250
0.000 0.000 0.000
```

Properties
Its symmetry is No. 216. The calculation puts the formation energy at -0.05 eV per atom. For the density of states at the Fermi level, the calculation gives 8.551 states/eV/cell. Its relative energy among the computed polymorphs is 0.142 eV/atom. The calculation puts the volume at 105.8 Å³/f.u.

(11)
An optimized crystal structure of CsRbHg3, computed with PBE.

```
CsRbHg3
1.0
-7.855 -3.640 -2.199
3.885 -9.781 2.313
-1.005 -3.874 10.005
Hg Rb Cs
12 4 4
Direct
0.500 0.673 0.673
0.000 0.673 0.673
0.500 0.327 0.327
0.928 0.163 0.661
0.428 0.661 0.163
0.000 0.327 0.327
0.428 0.837 0.339
0.072 0.661 0.163
0.572 0.339 0.837
0.928 0.339 0.837
0.572 0.163 0.661
0.072 0.837 0.339
0.250 0.998 0.546
0.750 0.546 0.998
0.250 0.454 0.002
0.750 0.002 0.454
0.250 0.453 0.547
0.250 0.037 0.963
0.750 0.963 0.037
0.750 0.547 0.453
```

Properties
Its symmetry is No. 63. The calculation puts the formation energy at -0.24 eV per atom. For the density of states at the Fermi level, the calculation gives 11.113 states/eV/cell. Its relative energy among the computed polymorphs is 0.006 eV/atom. The calculation puts the volume at 225.8 Å³/f.u.

(12)
An optimized crystal structure of Nd2Si5Rh, computed with PBE.

```
Nd2Si5Rh
1.0
6.121 -0.154 -0.220
-3.148 5.252 0.220
-3.148 -1.580 5.013
Si Nd Rh
5 2 1
Direct
0.000 0.696 0.279
0.000 0.289 0.289
0.000 0.279 0.696
0.418 0.696 0.696
0.582 0.279 0.279
0.500 0.729 0.229
0.500 0.229 0.729
0.000 0.024 0.024
```

Properties
Its symmetry is No. 107. For the density of states at the Fermi level, the calculation gives 3.027 states/eV/cell. The calculation puts the volume at 156.2 Å³/f.u. For the raw formation energy, the calculation gives -4.6 eV/f.u.